VASP calculation (GGA-PBE) on a relaxed TbMgAg crystal.

Cell: 6.3549 6.3549 6.3549 Å, 148.22 148.22 45.56°
With the nearest neighbours (Å) after each atom.
Fractional positions:
Tb (0.0000, 0.0000, 0.0000)  4 Ag 3.16, 5 Mg 3.41-3.49, 4 Tb 3.48
Mg (0.7020, 0.7020, 0.0000)  4 Ag 2.89
Ag (0.3310, 0.3310, 0.0000)  4 Mg 2.89, 4 Tb 3.16

Properties
Symmetry: I4mm (107)
DOS at the Fermi energy in states/eV/f.u.: 2.9
Crystal system: tetragonal
Calculated formation energy in eV/atom: -0.18
Energy in eV/atom: -3.201